First-principles (GGA-PBE) data for a relaxed Hf2AlGa crystal, as listed in Alexandria.

Properties
As for the formation energy: -1.5 eV/f.u. The total energy comes out at -7.0420 eV/atom. For the size of the total moment, the calculation gives 0.00 μB per formula unit. The value obtained for the volume is 74.40 Å³/f.u.

Cell: 4.1201 4.2495 4.2495 Å, 90.00 90.00 90.00°
Positions (direct):
1 Hf 0.0000 0.0000 0.5000
2 Hf 0.0000 0.5000 0.0000
3 Al 0.5000 0.5000 0.5000
4 Ga 0.5000 0.0000 0.0000